# 1
# InFe4 PBE optimized geometry
data_InFe4
_space_group_name_H-M_alt 'P 1'
_space_group_IT_number 1
_space_group_name_Hall 'P 1'
_cell_length_a 4.6977
_cell_length_b 4.6977
_cell_length_c 4.6977
_cell_angle_alpha 90.00
_cell_angle_beta 90.00
_cell_angle_gamma 90.00
loop_
_atom_site_label
_atom_site_type_symbol
_atom_site_fract_x
_atom_site_fract_y
_atom_site_fract_z
Fe1 Fe 0.0000 0.0000 0.0000
Fe2 Fe 0.5000 0.0000 0.5000
Fe3 Fe 0.0000 0.5000 0.5000
Fe4 Fe 0.5000 0.5000 0.0000
In1 In 0.5000 0.5000 0.5000
# energy of formation from the pure elements: 1848.0 meV per atom
# magnetization: 11.3 μB/f.u.
# DOS(E_F): 1.3789 states/eV/atom

=====

# 2
# PmSnSeO2 PBE optimized geometry
data_PmSnSeO2
_space_group_name_H-M_alt 'P 1'
_space_group_IT_number 1
_space_group_name_Hall 'P 1'
_cell_length_a 4.1663
_cell_length_b 6.6874
_cell_length_c 7.6467
_cell_angle_alpha 110.81
_cell_angle_beta 90.00
_cell_angle_gamma 90.00
loop_
_atom_site_label
_atom_site_type_symbol
_atom_site_fract_x
_atom_site_fract_y
_atom_site_fract_z
Pm1 Pm 0.2500 0.6849 0.9306
Pm2 Pm 0.7500 0.3151 0.0694
Sn1 Sn 0.2500 0.6775 0.4333
Sn2 Sn 0.7500 0.3225 0.5667
Se1 Se 0.2500 0.0427 0.7769
Se2 Se 0.7500 0.9573 0.2231
O1 O 0.7500 0.5260 0.3972
O2 O 0.2500 0.4740 0.6028
O3 O 0.7500 0.5159 0.8663
O4 O 0.2500 0.4841 0.1337
# magnetization: 0.0 μB/f.u.
# DOS(E_F): 0.4929 states/eV/atom
# raw formation energy: -44.909 kcal/mol of atoms